CaCo4O8 | PBE with a Hubbard U | relaxed

Output
The relative energy among the computed polymorphs comes out at 54 meV per atom. The calculation puts the total magnetic moment at 0.1566 μB per atom. Its uncorrected energy is -5.9366 eV/atom. The symmetry is No. 12.

Unit cell a=6.5318 b=6.5318 c=8.8016 alpha=129.80 beta=129.80 gamma=25.73
Closest atoms and distances in Å follow each position.
Atoms (fractional coordinates):
Ca 0.0000 0.0000 0.0000  10 O 2.61-2.66, 2 Ca 2.91
Co 0.1430 0.1430 0.4696  6 O 1.85-1.95
Co 0.3362 0.3362 0.1812  6 O 1.77-1.95
Co 0.6638 0.6638 0.8188  6 O 1.77-1.95
Co 0.8570 0.8570 0.5304  6 O 1.85-1.95
O 0.0458 0.0458 0.7518  3 Co 1.85-1.89
O 0.2981 0.2981 0.9338  3 Co 1.90-1.95
O 0.3439 0.3439 0.6653  3 Co 1.93-1.95
O 0.3645 0.3645 0.4071  3 Co 1.77-1.85
O 0.6355 0.6355 0.5929  3 Co 1.77-1.85
O 0.6561 0.6561 0.3347  3 Co 1.93-1.95
O 0.7019 0.7019 0.0662  3 Co 1.90-1.95
O 0.9542 0.9542 0.2482  3 Co 1.85-1.89